Record 1
Density functional theory data (PBE) for a geometry-optimized PmHo2In structure.

Calculated values
- N(E_F): 0.89 states/eV/atom
- Volume: 29.746 Å³ per atom
- Excess energy over the best structure of this formula in the dataset: 0.10 eV per formula unit
- Crystal system: tetragonal
- Formation energy: -238 meV/atom
- Final energy: -4.40 eV/atom

```
4
Lattice="3.5987 0.0000 0.0000 0.0000 3.5987 0.0000 0.0000 0.0000 9.1873" Properties=species:S:1:pos:R:3 pbc="T T T"
Ho 0.0000 0.0000 2.0498
Ho 0.0000 0.0000 7.1375
In 1.7994 1.7994 0.0000
Pm 1.7994 1.7994 4.5937
```


Record 2
Density functional theory data (PBE) for a geometry-optimized AlAgTe structure.

Calculated values
- Volume: 25.588 Å³ per atom
- Excess energy over the best structure of this formula in the dataset: 0.62 eV per formula unit
- Crystal system: cubic
- Formation energy from raw total energies: 94.6 meV per atom
- Final energy: -3.15 eV/atom

```
3
Lattice="4.7704 0.0000 0.0000 2.3852 4.1313 0.0000 2.3852 1.3771 3.8951" Properties=species:S:1:pos:R:3 pbc="T T T"
Ag 7.1557 4.1313 2.9213
Te 4.7704 2.7542 1.9475
Al 0.0000 0.0000 0.0000
```


Record 3
Density functional theory data (PBE) for a geometry-optimized K2HBr structure.

Calculated values
- N(E_F): 0.00 states/eV/atom
- Volume: 32.492 Å³ per atom
- Excess energy over the best structure of this formula in the dataset: 0.19 eV per formula unit
- Crystal system: tetragonal
- Final energy: -2.72 eV/atom

```
8
Lattice="7.6657 0.0000 0.0000 0.0000 7.6657 0.0000 3.8328 3.8328 4.4235" Properties=species:S:1:pos:R:3 pbc="T T T"
Br 0.0000 0.0000 0.0000
Br 7.6657 3.8328 2.2117
H 3.8328 7.6657 2.2117
H 3.8328 3.8328 0.0000
K 5.7493 6.2274 3.3176
K 2.3945 5.7493 1.1059
K 5.2712 1.9164 1.1059
K 9.5821 9.1040 3.3176
```


Record 4
Density functional theory data (PBE) for a geometry-optimized FeNiN2 structure.

Calculated values
- N(E_F): 0.66 states/eV/atom
- Volume: 8.242 Å³ per atom
- Excess energy over the best structure of this formula in the dataset: 3.35 eV per formula unit
- Crystal system: cubic
- Formation energy from raw total energies: 923.6 meV per atom
- Final energy: -6.80 eV/atom

```
4
Lattice="1.6830 -2.7516 1.5971 -1.8044 -3.0227 0.7493 0.6840 -3.0100 -1.8510" Properties=species:S:1:pos:R:3 pbc="T T T"
N 0.4219 -6.5882 0.3716
N 0.1406 -2.1961 0.1239
Fe 0.0000 0.0000 0.0000
Ni 0.2813 -4.3922 0.2477
```


Record 5
Density functional theory data (PBE) for a geometry-optimized TlPdI4 structure.

Calculated values
- N(E_F): 0.85 states/eV/atom
- Volume: 39.581 Å³ per atom
- Excess energy over the best structure of this formula in the dataset: 0.31 eV per formula unit
- Crystal system: monoclinic
- Formation energy from raw total energies: -219.8 meV per atom
- Final energy: -2.51 eV/atom

```
6
Lattice="-0.3353 3.3061 -2.6590 -6.4414 -0.0621 0.7350 1.3746 5.4256 6.5727" Properties=species:S:1:pos:R:3 pbc="T T T"
I -4.5710 1.3987 2.3155
I -1.4064 3.5841 1.2277
I -3.9956 5.0855 3.4210
I -0.4957 3.9648 4.9922
Pd -2.5334 2.6818 3.6539
Tl -3.3883 1.6220 -0.9620
```